# Zr2GaCo5B2, relaxed, DFT GGA-PBE
# final energy: -148.88 eV per cell
# space-group type: No. 127
# crystal system: tetragonal
data_Zr2GaCo5B2
_chemical_formula_sum 'Zr4 Ga2 Co10 B4'
_cell_length_a 8.685
_cell_length_b 8.685
_cell_length_c 3.104
_cell_angle_alpha 90.00
_cell_angle_beta 90.00
_cell_angle_gamma 90.00
_symmetry_space_group_name_H-M 'P 1'
_symmetry_Int_Tables_number 1
_symmetry_space_group_name_Hall 'P 1'
loop_
_atom_site_label
_atom_site_type_symbol
_atom_site_fract_x
_atom_site_fract_y
_atom_site_fract_z
Zr1 Zr 0.177 0.323 0.000
Zr2 Zr 0.323 0.823 0.000
Zr3 Zr 0.677 0.177 0.000
Zr4 Zr 0.823 0.677 0.000
Ga1 Ga 0.000 0.000 0.000
Ga2 Ga 0.500 0.500 0.000
Co1 Co 0.000 0.500 0.500
Co2 Co 0.069 0.775 0.500
Co3 Co 0.225 0.069 0.500
Co4 Co 0.275 0.569 0.500
Co5 Co 0.431 0.275 0.500
Co6 Co 0.500 0.000 0.500
Co7 Co 0.569 0.725 0.500
Co8 Co 0.725 0.431 0.500
Co9 Co 0.775 0.931 0.500
Co10 Co 0.931 0.225 0.500
B1 B 0.119 0.619 0.000
B2 B 0.381 0.119 0.000
B3 B 0.619 0.881 0.000
B4 B 0.881 0.381 0.000


# GdCo4B4, relaxed, DFT GGA-PBE
# final energy: -147.06 eV per cell
# space-group type: No. 137
# crystal system: tetragonal
data_GdCo4B4
_chemical_formula_sum 'Gd2 Co8 B8'
_cell_length_a 5.021
_cell_length_b 5.021
_cell_length_c 7.006
_cell_angle_alpha 90.00
_cell_angle_beta 90.00
_cell_angle_gamma 90.00
_symmetry_space_group_name_H-M 'P 1'
_symmetry_Int_Tables_number 1
_symmetry_space_group_name_Hall 'P 1'
loop_
_atom_site_label
_atom_site_type_symbol
_atom_site_fract_x
_atom_site_fract_y
_atom_site_fract_z
Gd1 Gd 0.250 0.750 0.250
Gd2 Gd 0.750 0.250 0.750
Co1 Co 0.004 0.750 0.615
Co2 Co 0.250 0.504 0.885
Co3 Co 0.250 0.996 0.885
Co4 Co 0.496 0.750 0.615
Co5 Co 0.504 0.250 0.385
Co6 Co 0.750 0.004 0.115
Co7 Co 0.750 0.496 0.115
Co8 Co 0.996 0.250 0.385
B1 B 0.075 0.250 0.090
B2 B 0.250 0.075 0.590
B3 B 0.250 0.425 0.590
B4 B 0.425 0.250 0.090
B5 B 0.575 0.750 0.910
B6 B 0.750 0.575 0.410
B7 B 0.750 0.925 0.410
B8 B 0.925 0.750 0.910


# GdCo3B, relaxed, DFT GGA-PBE
# final energy: -43.44 eV per cell
# space-group type: No. 221
# crystal system: cubic
data_GdCo3B
_chemical_formula_sum 'Gd1 Co3 B1'
_cell_length_a 3.974
_cell_length_b 3.974
_cell_length_c 3.974
_cell_angle_alpha 90.00
_cell_angle_beta 90.00
_cell_angle_gamma 90.00
_symmetry_space_group_name_H-M 'P 1'
_symmetry_Int_Tables_number 1
_symmetry_space_group_name_Hall 'P 1'
loop_
_atom_site_label
_atom_site_type_symbol
_atom_site_fract_x
_atom_site_fract_y
_atom_site_fract_z
Gd1 Gd 0.000 0.000 0.000
Co1 Co 0.000 0.500 0.500
Co2 Co 0.500 0.000 0.500
Co3 Co 0.500 0.500 0.000
B1 B 0.500 0.500 0.500


# GdCo2B, relaxed, DFT GGA-PBE
# final energy: -35.76 eV per cell
# space-group type: No. 166
# crystal system: trigonal
data_GdCo2B
_chemical_formula_sum 'Gd1 Co2 B1'
_cell_length_a 5.333
_cell_length_b 5.333
_cell_length_c 5.333
_cell_angle_alpha 39.91
_cell_angle_beta 39.91
_cell_angle_gamma 39.91
_symmetry_space_group_name_H-M 'P 1'
_symmetry_Int_Tables_number 1
_symmetry_space_group_name_Hall 'P 1'
loop_
_atom_site_label
_atom_site_type_symbol
_atom_site_fract_x
_atom_site_fract_y
_atom_site_fract_z
Gd1 Gd 0.000 0.000 0.000
Co1 Co 0.197 0.197 0.197
Co2 Co 0.803 0.803 0.803
B1 B 0.500 0.500 0.500


# GdCo3B2, relaxed, DFT GGA-PBE
# final energy: -51.53 eV per cell
# space-group type: No. 191
# crystal system: hexagonal
data_GdCo3B2
_chemical_formula_sum 'Gd1 Co3 B2'
_cell_length_a 5.025
_cell_length_b 5.025
_cell_length_c 3.016
_cell_angle_alpha 90.00
_cell_angle_beta 90.00
_cell_angle_gamma 120.00
_symmetry_space_group_name_H-M 'P 1'
_symmetry_Int_Tables_number 1
_symmetry_space_group_name_Hall 'P 1'
loop_
_atom_site_label
_atom_site_type_symbol
_atom_site_fract_x
_atom_site_fract_y
_atom_site_fract_z
Gd1 Gd 0.000 0.000 0.000
Co1 Co 0.000 0.500 0.500
Co2 Co 0.500 0.000 0.500
Co3 Co 0.500 0.500 0.500
B1 B 0.333 0.667 0.000
B2 B 0.667 0.333 0.000


# GdCoB2, relaxed, DFT GGA-PBE
# final energy: -35.89 eV per cell
# space-group type: No. 166
# crystal system: trigonal
data_GdCoB2
_chemical_formula_sum 'Gd1 Co1 B2'
_cell_length_a 5.160
_cell_length_b 5.160
_cell_length_c 5.160
_cell_angle_alpha 39.14
_cell_angle_beta 39.14
_cell_angle_gamma 39.14
_symmetry_space_group_name_H-M 'P 1'
_symmetry_Int_Tables_number 1
_symmetry_space_group_name_Hall 'P 1'
loop_
_atom_site_label
_atom_site_type_symbol
_atom_site_fract_x
_atom_site_fract_y
_atom_site_fract_z
Gd1 Gd 0.000 0.000 0.000
Co1 Co 0.500 0.500 0.500
B1 B 0.191 0.191 0.191
B2 B 0.809 0.809 0.809


# GdCoB, relaxed, DFT GGA-PBE
# final energy: -28.74 eV per cell
# space-group type: No. 187
# crystal system: hexagonal
data_GdCoB
_chemical_formula_sum 'Gd1 Co1 B1'
_cell_length_a 3.573
_cell_length_b 3.573
_cell_length_c 4.034
_cell_angle_alpha 90.00
_cell_angle_beta 90.00
_cell_angle_gamma 120.00
_symmetry_space_group_name_H-M 'P 1'
_symmetry_Int_Tables_number 1
_symmetry_space_group_name_Hall 'P 1'
loop_
_atom_site_label
_atom_site_type_symbol
_atom_site_fract_x
_atom_site_fract_y
_atom_site_fract_z
Gd1 Gd 0.000 0.000 0.000
Co1 Co 0.667 0.333 0.500
B1 B 0.333 0.667 0.500


# Gd3Co11B4, relaxed, DFT GGA-PBE
# final energy: -153.44 eV per cell
# space-group type: No. 191
# crystal system: hexagonal
data_Gd3Co11B4
_chemical_formula_sum 'Gd3 Co11 B4'
_cell_length_a 5.054
_cell_length_b 5.054
_cell_length_c 9.750
_cell_angle_alpha 90.00
_cell_angle_beta 90.00
_cell_angle_gamma 120.00
_symmetry_space_group_name_H-M 'P 1'
_symmetry_Int_Tables_number 1
_symmetry_space_group_name_Hall 'P 1'
loop_
_atom_site_label
_atom_site_type_symbol
_atom_site_fract_x
_atom_site_fract_y
_atom_site_fract_z
Gd1 Gd 0.000 0.000 0.000
Gd2 Gd 0.000 0.000 0.342
Gd3 Gd 0.000 0.000 0.658
Co1 Co 0.000 0.500 0.202
Co2 Co 0.000 0.500 0.500
Co3 Co 0.000 0.500 0.798
Co4 Co 0.333 0.667 0.000
Co5 Co 0.500 0.000 0.202
Co6 Co 0.500 0.000 0.500
Co7 Co 0.500 0.000 0.798
Co8 Co 0.500 0.500 0.202
Co9 Co 0.500 0.500 0.500
Co10 Co 0.500 0.500 0.798
Co11 Co 0.667 0.333 0.000
B1 B 0.333 0.667 0.350
B2 B 0.333 0.667 0.650
B3 B 0.667 0.333 0.350
B4 B 0.667 0.333 0.650